Crystalline ScV2Ge2 at its relaxed geometry, computed with PBE. Values from VASP.

The calculation puts the formation enthalpy at 0 K at -0.472 eV/atom. The value obtained for the calculated density is 5.94 g/cm3. The density of states at the Fermi level comes out at 0.524 states/eV/atom. Its size of the total moment is 0.0 μB per cell.

The structure in Quantum ESPRESSO input format:
```
&SYSTEM
  ibrav = 0, nat = 5, ntyp = 3
/
ATOMIC_SPECIES
Ge 72.64 Ge.upf
Sc 44.96 Sc.upf
V 50.94 V.upf
CELL_PARAMETERS angstrom
-1.347 3.272 1.269
1.216 -0.840 3.456
4.997 3.752 1.197
ATOMIC_POSITIONS crystal
Ge 0.395 0.395 0.211
Ge 0.605 0.605 0.789
Sc 0.000 0.000 0.000
V 0.250 0.750 0.500
V 0.750 0.250 0.500
```

Crystalline ScV3Ge2 at its relaxed geometry, computed with PBE. Values from VASP.

The calculation puts the formation enthalpy at 0 K at -0.370 eV/atom. The value obtained for the calculated density is 5.88 g/cm3. The density of states at the Fermi level comes out at 0.639 states/eV/atom. Its size of the total moment is 0.0 μB per cell.

The structure in Quantum ESPRESSO input format:
```
&SYSTEM
  ibrav = 0, nat = 12, ntyp = 3
/
ATOMIC_SPECIES
Sc 44.96 Sc.upf
Ge 72.64 Ge.upf
V 50.94 V.upf
CELL_PARAMETERS angstrom
-2.110 -1.489 3.159
0.871 -5.261 -4.533
6.177 1.638 4.898
ATOMIC_POSITIONS crystal
Sc 0.146 0.292 0.058
Ge 0.198 0.397 0.723
Ge 0.476 0.951 0.839
V 0.952 0.905 0.627
Ge 0.802 0.603 0.277
V 0.048 0.095 0.373
V 0.687 0.375 0.481
Ge 0.524 0.049 0.161
V 0.426 0.851 0.346
V 0.313 0.625 0.519
V 0.574 0.149 0.654
Sc 0.854 0.708 0.942
```

Crystalline Sc2V3Ge4 at its relaxed geometry, computed with PBE. Values from VASP.

The calculation puts the formation enthalpy at 0 K at -0.621 eV/atom. The value obtained for the calculated density is 6.17 g/cm3. The density of states at the Fermi level comes out at 0.654 states/eV/atom. Its size of the total moment is 0.0 μB per cell.

The structure in Quantum ESPRESSO input format:
```
&SYSTEM
  ibrav = 0, nat = 18, ntyp = 3
/
ATOMIC_SPECIES
Sc 44.96 Sc.upf
V 50.94 V.upf
Ge 72.64 Ge.upf
CELL_PARAMETERS angstrom
-5.781 1.109 3.115
2.254 -6.212 1.485
3.349 2.489 5.328
ATOMIC_POSITIONS crystal
Sc 0.054 0.186 0.171
V 0.754 0.746 0.328
Ge 0.854 0.086 0.539
V 0.246 0.254 0.672
V 0.746 0.254 0.828
Sc 0.446 0.814 0.671
Ge 0.354 0.086 0.961
Ge 0.138 0.508 0.866
V 0.254 0.746 0.172
Ge 0.638 0.508 0.634
Sc 0.554 0.186 0.329
V 0.500 0.500 0.000
Ge 0.862 0.492 0.134
V 0.000 0.500 0.500
Ge 0.646 0.914 0.039
Ge 0.146 0.914 0.461
Sc 0.946 0.814 0.829
Ge 0.362 0.492 0.366
```

Crystalline Sc2V3Ge4 at its relaxed geometry, computed with PBE. Values from VASP.

The calculation puts the formation enthalpy at 0 K at -0.628 eV/atom. The value obtained for the calculated density is 6.17 g/cm3. The density of states at the Fermi level comes out at 0.556 states/eV/atom. Its size of the total moment is 0.0 μB per cell.

The structure in Quantum ESPRESSO input format:
```
&SYSTEM
  ibrav = 0, nat = 36, ntyp = 3
/
ATOMIC_SPECIES
Sc 44.96 Sc.upf
Ge 72.64 Ge.upf
V 50.94 V.upf
CELL_PARAMETERS angstrom
6.628 0.000 0.000
0.000 6.779 0.000
0.000 0.000 12.780
ATOMIC_POSITIONS crystal
Sc 0.509 0.326 0.407
Ge 0.322 0.042 0.543
Ge 0.178 0.542 0.043
Sc 0.509 0.326 0.093
Ge 0.189 0.646 0.750
V 0.665 0.985 0.250
Ge 0.536 0.622 0.250
Ge 0.689 0.854 0.750
V 0.335 0.015 0.750
Sc 0.491 0.674 0.593
Ge 0.822 0.458 0.957
Sc 0.009 0.174 0.407
Sc 0.009 0.174 0.093
Ge 0.811 0.354 0.250
Ge 0.464 0.378 0.750
V 0.165 0.515 0.250
V 0.659 0.166 0.873
V 0.341 0.834 0.127
V 0.841 0.666 0.127
V 0.841 0.666 0.373
Sc 0.491 0.674 0.907
V 0.659 0.166 0.627
Ge 0.678 0.958 0.457
Sc 0.991 0.826 0.907
V 0.341 0.834 0.373
Ge 0.822 0.458 0.543
V 0.835 0.485 0.750
Sc 0.991 0.826 0.593
V 0.159 0.334 0.873
Ge 0.322 0.042 0.957
Ge 0.678 0.958 0.043
V 0.159 0.334 0.627
Ge 0.311 0.146 0.250
Ge 0.178 0.542 0.457
Ge 0.036 0.878 0.250
Ge 0.964 0.122 0.750
```

Please write out number 1 again, unchanged.
Crystalline ScV2Ge2 at its relaxed geometry, computed with PBE. Values from VASP.

The calculation puts the formation enthalpy at 0 K at -0.472 eV/atom. The value obtained for the calculated density is 5.94 g/cm3. The density of states at the Fermi level comes out at 0.524 states/eV/atom. Its size of the total moment is 0.0 μB per cell.

The structure in Quantum ESPRESSO input format:
```
&SYSTEM
  ibrav = 0, nat = 5, ntyp = 3
/
ATOMIC_SPECIES
Ge 72.64 Ge.upf
Sc 44.96 Sc.upf
V 50.94 V.upf
CELL_PARAMETERS angstrom
-1.347 3.272 1.269
1.216 -0.840 3.456
4.997 3.752 1.197
ATOMIC_POSITIONS crystal
Ge 0.395 0.395 0.211
Ge 0.605 0.605 0.789
Sc 0.000 0.000 0.000
V 0.250 0.750 0.500
V 0.750 0.250 0.500
```